A relaxed structure of HoEr7Al5, computed with PBE-GGA.

Calculated values
Space-group type   Imm2
Calculated formation energy   -0.225 eV per atom
DOS at the Fermi energy   0.8763 states/eV/atom

Cell: 6.0578 7.9523 7.9523 Å, 79.64 67.61 67.61°
With the nearest neighbours (Å) after each atom.
Positions (direct):
Ho: 0.0131 0.9869 0.9869  8 Er 3.44-3.66, 6 Al 3.77-3.85
Er: 0.6677 0.3323 0.3323  4 Al 3.16, 3 Er 3.22-3.48
Er: 0.3401 0.6599 0.6599  6 Al 3.05-3.22
Er: 0.9908 0.3464 0.6719  5 Al 3.14-3.23, 4 Er 3.32-3.41, 1 Ho 3.44
Er: 0.9908 0.6719 0.3464  5 Al 3.14-3.23, 4 Er 3.32-3.41, 1 Ho 3.44
Er: 0.2716 0.2284 0.2284  4 Al 3.05, 6 Er 3.17-3.41
Er: 0.5058 0.8009 0.1875  5 Al 3.00-3.22, 1 Er 3.17
Er: 0.5058 0.1875 0.8009  5 Al 3.00-3.22, 1 Er 3.17
Al: 0.4910 0.9965 0.5153  3 Al 2.89-3.07, 7 Er 3.00-3.23
Al: 0.9972 0.9965 0.5153  3 Al 2.89-3.07, 7 Er 3.00-3.23
Al: 0.4910 0.5153 0.9965  3 Al 2.89-3.07, 7 Er 3.00-3.23
Al: 0.9972 0.5153 0.9965  3 Al 2.89-3.07, 7 Er 3.00-3.23
Al: 0.7378 0.7622 0.7622  4 Al 2.89, 6 Er 3.15-3.22

A relaxed structure of Ho2ErAl, computed with PBE-GGA.

Calculated values
Space-group type   Fm-3m
Offset from the most stable computed form   144 meV per atom
Calculated formation energy   -0.057 eV per atom
DOS at the Fermi energy   1.4777 states/eV/atom

Cell: 5.3116 5.3116 5.3116 Å, 60.00 60.00 60.00°
With the nearest neighbours (Å) after each atom.
Positions (direct):
Al: 0.0000 0.0000 0.0000  8 Ho 3.25
Ho: 0.2500 0.2500 0.2500  4 Er 3.25, 4 Al 3.25
Ho: 0.7500 0.7500 0.7500  4 Al 3.25, 4 Er 3.25
Er: 0.5000 0.5000 0.5000  8 Ho 3.25

A relaxed structure of Ho3ErAl3, computed with PBE-GGA.

Calculated values
Space-group type   Cmmm
Calculated formation energy   -0.265 eV per atom
DOS at the Fermi energy   0.5221 states/eV/atom

Cell: 7.1872 7.1873 6.8951 Å, 90.00 90.00 89.81°
With the nearest neighbours (Å) after each atom.
Positions (direct):
Ho: 0.7436 0.7436 0.5000  6 Al 3.07-3.14
Ho: 0.2546 0.7454 0.5000  6 Al 3.08-3.12, 2 Ho 3.45
Ho: 0.7454 0.2546 0.5000  6 Al 3.08-3.12, 2 Ho 3.45
Ho: 0.2587 0.7413 0.0000  6 Al 3.07-3.13
Ho: 0.7413 0.2587 0.0000  6 Al 3.07-3.13
Ho: 0.2564 0.2564 0.5000  6 Al 3.07-3.14
Er: 0.7457 0.7458 0.0001  6 Al 3.06-3.10
Er: 0.2543 0.2542 0.9999  6 Al 3.06-3.10
Al: 0.0000 0.0000 0.2475  2 Er 3.10, 6 Ho 3.12-3.14, 1 Al 3.41
Al: 0.0000 0.5000 0.7513  2 Er 3.06, 6 Ho 3.07-3.08, 1 Al 3.43
Al: 0.5000 0.0000 0.7513  2 Er 3.06, 6 Ho 3.07-3.08, 1 Al 3.43
Al: 0.0000 0.5000 0.2487  2 Er 3.06, 6 Ho 3.07-3.08, 1 Al 3.43
Al: 0.5000 0.0000 0.2487  2 Er 3.06, 6 Ho 3.07-3.08, 1 Al 3.43
Al: 0.0000 0.0000 0.7525  2 Er 3.10, 6 Ho 3.12-3.14, 1 Al 3.41

A relaxed structure of Ho2ErAl, computed with PBE-GGA.

Calculated values
Space-group type   Amm2
Offset from the most stable computed form   0 meV per atom
Calculated formation energy   -0.200 eV per atom
DOS at the Fermi energy   1.0300 states/eV/atom

Cell: 5.2783 6.7800 6.7800 Å, 120.03 90.00 90.00°
With the nearest neighbours (Å) after each atom.
Positions (direct):
Ho: 0.5000 0.1745 0.8255  4 Er 3.23-3.55, 4 Al 3.24-3.39, 4 Ho 3.34
Ho: 0.0000 0.3488 0.1746  6 Ho 3.23-3.55, 4 Al 3.23-3.40, 2 Er 3.34
Ho: 0.0000 0.8254 0.6512  6 Ho 3.23-3.55, 4 Al 3.23-3.40, 2 Er 3.34
Ho: 0.0000 0.8255 0.1745  4 Al 3.23-3.39, 4 Ho 3.23-3.55, 4 Er 3.34
Er: 0.5000 0.6514 0.8256  4 Al 3.23-3.39, 2 Er 3.23-3.54, 6 Ho 3.23-3.55
Er: 0.5000 0.1744 0.3486  4 Al 3.23-3.39, 2 Er 3.23-3.54, 6 Ho 3.23-3.55
Al: 0.5000 0.6665 0.3335  8 Ho 3.23-3.39, 4 Er 3.39
Al: 0.0000 0.3338 0.6662  4 Er 3.23, 8 Ho 3.24-3.40

A relaxed structure of HoErAl, computed with PBE-GGA.

Calculated values
Space-group type   C2/m
Offset from the most stable computed form   106 meV per atom
Calculated formation energy   -0.154 eV per atom
DOS at the Fermi energy   1.4985 states/eV/atom

Cell: 4.5001 4.5001 8.0328 Å, 89.88 90.12 90.00°
With the nearest neighbours (Å) after each atom.
Positions (direct):
Ho: 0.7500 0.7500 0.0000  4 Al 3.11, 4 Ho 3.18
Ho: 0.2500 0.2500 0.0000  4 Al 3.11, 4 Ho 3.18
Er: 0.7515 0.2485 0.3567  5 Al 3.02-3.27
Er: 0.2485 0.7515 0.6433  5 Al 3.02-3.27
Al: 0.2515 0.7485 0.2670  5 Er 3.02-3.27, 4 Ho 3.11
Al: 0.7485 0.2515 0.7330  5 Er 3.02-3.27, 4 Ho 3.11

A relaxed structure of HoErAl6, computed with PBE-GGA.

Calculated values
Space-group type   P-6m2
Offset from the most stable computed form   0 meV per atom
Calculated formation energy   -0.412 eV per atom
DOS at the Fermi energy   0.4509 states/eV/atom

Cell: 4.7393 6.1291 6.1291 Å, 119.96 90.00 90.00°
With the nearest neighbours (Å) after each atom.
Positions (direct):
Ho: 0.5000 0.4165 0.5835  12 Al 3.07
Er: 0.0000 0.0834 0.9166  12 Al 3.07
Al: 0.0000 0.0494 0.3996  6 Al 2.75-2.85, 2 Ho 3.07, 2 Er 3.07
Al: 0.0000 0.6004 0.9506  6 Al 2.75-2.85, 2 Ho 3.07, 2 Er 3.07
Al: 0.0000 0.6001 0.3999  6 Al 2.75-2.85, 2 Ho 3.07, 2 Er 3.07
Al: 0.5000 0.4498 0.1001  6 Al 2.76-2.85, 2 Er 3.07, 2 Ho 3.07
Al: 0.5000 0.8999 0.5502  6 Al 2.76-2.85, 2 Er 3.07, 2 Ho 3.07
Al: 0.5000 0.9002 0.0998  6 Al 2.76-2.85, 2 Er 3.07, 2 Ho 3.07

A relaxed structure of HoErAl, computed with PBE-GGA.

Calculated values
Space-group type   P3m1
Offset from the most stable computed form   106 meV per atom
Calculated formation energy   -0.154 eV per atom
DOS at the Fermi energy   0.6061 states/eV/atom

Cell: 3.5208 5.0362 5.0362 Å, 120.00 90.00 90.00°
With the nearest neighbours (Å) after each atom.
Positions (direct):
Al: 0.6612 0.6667 0.3333  3 Er 3.06, 3 Ho 3.08
Ho: 0.9490 0.0000 0.0000  3 Al 3.08, 3 Er 3.30
Er: 0.3899 0.3333 0.6667  3 Al 3.06, 3 Ho 3.30

A relaxed structure of Ho2ErAl3, computed with PBE-GGA.

Calculated values
Space-group type   P4/mmm
Calculated formation energy   -0.396 eV per atom
DOS at the Fermi energy   0.3556 states/eV/atom

Cell: 3.5636 3.5636 10.8056 Å, 90.00 90.00 90.00°
With the nearest neighbours (Å) after each atom.
Positions (direct):
Ho: 0.5000 0.5000 0.8326  8 Al 3.10
Ho: 0.5000 0.5000 0.1674  8 Al 3.10
Er: 0.5000 0.5000 0.5000  8 Al 3.09
Al: 0.0000 0.0000 0.0000  8 Ho 3.10
Al: 0.0000 0.0000 0.6651  4 Er 3.09, 4 Ho 3.10
Al: 0.0000 0.0000 0.3349  4 Er 3.09, 4 Ho 3.10

A relaxed structure of HoErAl, computed with PBE-GGA.

Calculated values
Space-group type   I4mm
Offset from the most stable computed form   0 meV per atom
Calculated formation energy   -0.260 eV per atom
DOS at the Fermi energy   0.6848 states/eV/atom

Cell: 3.4197 3.4197 7.0827 Å, 103.97 103.97 90.00°
With the nearest neighbours (Å) after each atom.
Positions (direct):
Al: 0.9496 0.9496 0.8992  4 Er 3.13, 4 Ho 3.14, 4 Al 3.42
Ho: 0.5996 0.5996 0.1991  4 Al 3.14, 4 Ho 3.42
Er: 0.3009 0.3009 0.6017  4 Al 3.13, 4 Er 3.42

A relaxed structure of Ho3ErAl4, computed with PBE-GGA.

Calculated values
Space-group type   P4/mmm
Calculated formation energy   -0.396 eV per atom
DOS at the Fermi energy   0.4051 states/eV/atom

Cell: 3.5764 3.5764 14.3041 Å, 90.00 90.00 90.00°
With the nearest neighbours (Å) after each atom.
Positions (direct):
Al: 0.0000 0.0000 0.8763  4 Er 3.09, 4 Ho 3.10
Al: 0.0000 0.0000 0.1237  4 Er 3.09, 4 Ho 3.10
Al: 0.0000 0.0000 0.3746  8 Ho 3.10
Al: 0.0000 0.0000 0.6254  8 Ho 3.10
Ho: 0.5000 0.5000 0.2492  8 Al 3.10
Ho: 0.5000 0.5000 0.5000  8 Al 3.10
Ho: 0.5000 0.5000 0.7508  8 Al 3.10
Er: 0.5000 0.5000 0.0000  8 Al 3.09

A relaxed structure of Ho6ErAl, computed with PBE-GGA.

Calculated values
Space-group type   R-3
Calculated formation energy   0.042 eV per atom
DOS at the Fermi energy   1.3746 states/eV/atom

Cell: 9.0936 8.4791 6.2166 Å, 46.98 43.00 57.58°
With the nearest neighbours (Å) after each atom.
Positions (direct):
Ho: 0.0362 0.4448 0.7584  1 Al 3.08, 2 Ho 3.16-3.26, 1 Er 3.43
Ho: 0.7606 0.9641 0.7200  1 Al 3.08, 2 Ho 3.16-3.26, 1 Er 3.43
Ho: 0.5553 0.2393 0.1694  1 Al 3.08, 2 Ho 3.15-3.26, 1 Er 3.43
Ho: 0.2394 0.0359 0.2800  1 Al 3.08, 2 Ho 3.16-3.26, 1 Er 3.43
Ho: 0.9638 0.5552 0.2416  1 Al 3.08, 2 Ho 3.16-3.26, 1 Er 3.43
Ho: 0.4447 0.7607 0.8306  1 Al 3.08, 2 Ho 3.15-3.26, 1 Er 3.43
Er: 0.5000 0.5000 0.5000  12 Ho 3.43-3.59
Al: 0.0000 0.0000 0.0000  6 Ho 3.08

A relaxed structure of Ho15Er4Al, computed with PBE-GGA.

Calculated values
Space-group type   P4/mmm
Calculated formation energy   -0.012 eV per atom
DOS at the Fermi energy   1.1909 states/eV/atom

Cell: 4.9138 4.9138 24.8396 Å, 90.00 90.00 90.00°
With the nearest neighbours (Å) after each atom.
Positions (direct):
Ho: 0.5000 0.5000 0.0000  8 Ho 3.39, 4 Al 3.47
Ho: 0.5000 0.5000 0.1943  4 Er 3.47, 8 Ho 3.50-3.54
Ho: 0.5000 0.5000 0.3981  4 Er 3.47, 8 Ho 3.51-3.53
Ho: 0.5000 0.5000 0.6019  4 Er 3.47, 8 Ho 3.51-3.53
Ho: 0.5000 0.5000 0.8057  4 Er 3.47, 8 Ho 3.50-3.54
Ho: 0.5000 0.0000 0.0942  2 Al 3.39, 8 Ho 3.39-3.50, 2 Er 3.53
Ho: 0.5000 0.0000 0.2971  8 Ho 3.47-3.54, 4 Er 3.51-3.52
Ho: 0.5000 0.0000 0.5000  8 Ho 3.47-3.53, 4 Er 3.52
Ho: 0.5000 0.0000 0.7029  8 Ho 3.47-3.54, 4 Er 3.51-3.52
Ho: 0.5000 0.0000 0.9058  2 Al 3.39, 8 Ho 3.39-3.50, 2 Er 3.53
Ho: 0.0000 0.5000 0.0942  8 Ho 3.39-3.50, 2 Al 3.39, 2 Er 3.53
Ho: 0.0000 0.5000 0.2971  8 Ho 3.47-3.54, 4 Er 3.51-3.52
Ho: 0.0000 0.5000 0.5000  8 Ho 3.47-3.53, 4 Er 3.52
Ho: 0.0000 0.5000 0.7029  8 Ho 3.47-3.54, 4 Er 3.51-3.52
Ho: 0.0000 0.5000 0.9058  8 Ho 3.39-3.50, 2 Al 3.39, 2 Er 3.53
Er: 0.0000 0.0000 0.1963  12 Ho 3.47-3.53
Er: 0.0000 0.0000 0.3987  12 Ho 3.47-3.52
Er: 0.0000 0.0000 0.6013  12 Ho 3.47-3.52
Er: 0.0000 0.0000 0.8037  12 Ho 3.47-3.53
Al: 0.0000 0.0000 0.0000  12 Ho 3.39-3.47

A relaxed structure of HoErAl3, computed with PBE-GGA.

Calculated values
Space-group type   Cmcm
Calculated formation energy   -0.448 eV per atom
DOS at the Fermi energy   0.6225 states/eV/atom

Cell: 4.5289 3.5052 13.8574 Å, 97.27 90.00 90.00°
With the nearest neighbours (Å) after each atom.
Positions (direct):
Ho: 0.2500 0.0718 0.1437  12 Al 3.15-3.25, 2 Ho 3.51
Ho: 0.7500 0.9282 0.8563  12 Al 3.15-3.25, 2 Ho 3.51
Er: 0.2500 0.7878 0.5756  7 Al 3.08-3.20
Er: 0.7500 0.2122 0.4244  7 Al 3.08-3.20
Al: 0.2500 0.3807 0.7614  3 Al 2.62-2.68
Al: 0.7500 0.6193 0.2386  3 Al 2.62-2.68
Al: 0.2500 0.4760 0.9521  3 Al 2.62
Al: 0.7500 0.5240 0.0479  3 Al 2.62
Al: 0.7500 0.3287 0.6575  2 Al 2.68
Al: 0.2500 0.6713 0.3425  2 Al 2.68